Density functional theory data (GGA-PBE) for a relaxed structure of MgScTa2.

a = 2.8785 Å, b = 2.8785 Å, c = 9.5111 Å
α = 90.00°, β = 90.00°, γ = 90.00°
Last column: nearest neighbours and their distance in Å.
Positions (direct):
Mg: 0.5000 0.5000 0.2500  4 Mg 2.88, 8 Ta 3.16
Ta: 0.0000 0.0000 0.9962  4 Ta 2.88, 4 Sc 3.10, 4 Mg 3.16
Sc: 0.5000 0.5000 0.7500  4 Sc 2.88, 8 Ta 3.10
Ta: 0.0000 0.0000 0.5038  4 Ta 2.88, 4 Sc 3.10, 4 Mg 3.16

Calculated values
- Total magnetization: 0.00 Bohr magnetons per cell
- DOS at the Fermi energy: 1.055 states/eV/atom
- Total energy: -7.6471 eV per atom
- ΔE_f: 0.261 eV per atom